# Ho7Si2Ge2 PBE optimized geometry
# * ΔE_f (raw): -0.3284 eV per atom
data_Ho7Si2Ge2
_cell_length_a 7.4864
_cell_length_b 10.6094
_cell_length_c 7.1813
_cell_angle_alpha 90.00
_cell_angle_beta 90.00
_cell_angle_gamma 90.00
_space_group_name_H-M_alt 'C m m m'
_space_group_IT_number 65
_space_group_name_Hall '-C 2 2'
loop_
_atom_site_label
_atom_site_fract_x
_atom_site_fract_y
_atom_site_fract_z
Ho1 0.0000 0.0000 0.0000
Ho2 0.0000 0.5000 0.2643
Ho3 0.2500 0.2500 0.2857
Si1 0.1641 0.0000 0.5000
Ge1 0.0000 0.2929 0.0000